Below is crystalline Rb2CaZnP2 at its relaxed geometry, with properties calculated at the PBE-GGA level.

Calculated formation energy: -559 meV/atom

Lattice parameters (Å, degrees): 9.0851 9.0851 9.0851 137.03 62.87 136.41
Closest atoms and distances in Å follow each position.
Fractional positions:
Rb1 0.1790 0.2251 0.4041  4 P 3.30-3.68, 2 Zn 3.58
Rb2 0.3210 0.7251 0.0461  4 P 3.30-3.68, 2 Zn 3.58
Rb3 0.6790 0.2749 0.9539  4 P 3.30-3.68, 2 Zn 3.58
Rb4 0.8210 0.7749 0.5959  4 P 3.30-3.68, 2 Zn 3.58
Ca1 0.2500 0.7500 0.5000  4 P 2.84
Ca2 0.7500 0.2500 0.5000  4 P 2.84
Zn1 0.2500 0.2500 0.0000  4 P 2.59
Zn2 0.7500 0.7500 0.0000  4 P 2.59
P1 0.0846 0.7808 0.8653  2 Zn 2.59, 2 Ca 2.84
P2 0.4154 0.2808 0.6962  2 Zn 2.59, 2 Ca 2.84
P3 0.5846 0.7192 0.3038  2 Zn 2.59, 2 Ca 2.84
P4 0.9154 0.2192 0.1347  2 Zn 2.59, 2 Ca 2.84

Below is crystalline CaRe2P at its relaxed geometry, with properties calculated at the PBE-GGA level.

Calculated formation energy: 498 meV/atom

Lattice parameters (Å, degrees): 5.4367 5.4367 5.4367 147.80 124.88 65.28
Closest atoms and distances in Å follow each position.
Fractional positions:
Ca1 0.0000 0.0000 0.0000  2 P 2.88, 8 Re 2.94-3.13, 2 Ca 3.01
Re1 0.4742 0.4742 0.0000  2 P 2.42, 2 Re 2.58
Re2 0.7034 0.2034 0.5000  2 Re 2.58
P1 0.2679 0.7679 0.5000  2 Re 2.42

Number 2 is which compound? CaRe2P

Number 1 is which compound? Rb2CaZnP2